[1]
Entry from Alexandria: Mg4Zn at its PBEsol-relaxed geometry (SCAN).

energy of formation from the pure elements	-0.2	eV per formula unit
V	102	Å³/cell
E_tot	-0.4944	Ry/atom
total magnetic moment	0.09	μB per formula unit

Cell and atoms, written as POSCAR:
```
Mg4Zn
1.0
-3.914 3.914 1.671
3.914 -3.914 1.671
3.914 3.914 -1.671
Mg Zn
4 1
Cartesian
5.644 0.656 0.000 Mg
0.656 2.185 0.000 Mg
3.258 1.729 1.671 Mg
-1.729 3.258 1.671 Mg
0.000 0.000 1.671 Zn
```

***

[2]
Entry from Alexandria: TaFePt2 at its PBEsol-relaxed geometry (SCAN).

energy of formation from the pure elements	-1.6	eV per formula unit
V	59	Å³/cell
excess energy over the best structure of this formula in the dataset	334	meV/atom
E_tot	-4.1661	Ry/atom
total magnetic moment	2.38	μB per formula unit

Cell and atoms, written as POSCAR:
```
TaFePt2
1.0
0.000 3.087 3.087
3.087 0.000 3.087
3.087 3.087 0.000
Ta Fe Pt
1 1 2
Cartesian
0.000 0.000 0.000 Ta
1.543 1.543 1.543 Fe
3.087 3.087 3.087 Pt
4.630 4.630 4.630 Pt
```

***

[3]
Entry from Alexandria: Na5NiHO4 at its PBEsol-relaxed geometry (SCAN).

V	1124	Å³/cell
E_tot	-0.5402	Ry/atom
total magnetic moment	2.00	μB per formula unit

Cell and atoms, written as POSCAR:
```
Na5NiHO4
1.0
9.700 0.000 0.000
0.000 9.964 0.000
0.000 0.000 11.627
Na Ni H O
40 8 8 32
Cartesian
0.030 0.924 2.529 Na
0.030 4.058 2.529 Na
0.701 0.687 6.878 Na
0.701 4.295 6.878 Na
0.823 7.473 6.458 Na
1.097 2.491 0.234 Na
1.339 5.621 0.136 Na
1.339 9.324 0.136 Na
2.130 5.795 3.593 Na
2.130 9.150 3.593 Na
2.720 0.813 9.406 Na
2.720 4.168 9.406 Na
3.511 0.640 5.950 Na
3.511 4.342 5.950 Na
3.753 7.473 6.048 Na
4.028 2.491 0.644 Na
4.150 5.669 1.065 Na
4.150 9.277 1.065 Na
4.820 5.906 8.342 Na
4.820 9.040 8.342 Na
4.881 0.924 3.285 Na
4.881 4.058 3.285 Na
5.551 0.687 10.562 Na
5.551 4.295 10.562 Na
5.673 7.473 10.982 Na
5.947 2.491 5.579 Na
6.189 5.621 5.677 Na
6.189 9.324 5.677 Na
6.980 5.795 2.221 Na
6.980 9.150 2.221 Na
7.571 0.813 8.034 Na
7.571 4.168 8.034 Na
8.362 0.640 11.490 Na
8.362 4.342 11.490 Na
8.603 7.473 11.393 Na
8.878 2.491 5.169 Na
9.000 5.669 4.749 Na
9.000 9.277 4.749 Na
9.670 5.906 9.098 Na
9.670 9.040 9.098 Na
0.129 2.491 9.228 Ni
1.975 2.491 4.451 Ni
2.875 7.473 10.265 Ni
4.721 7.473 3.414 Ni
4.979 2.491 8.212 Ni
6.825 2.491 1.362 Ni
7.725 7.473 7.176 Ni
9.572 7.473 2.399 Ni
2.423 1.379 2.406 H
2.423 3.602 2.406 H
2.428 6.361 8.219 H
2.428 8.584 8.219 H
7.273 1.379 3.408 H
7.273 3.602 3.408 H
7.278 6.361 9.221 H
7.278 8.584 9.221 H
0.562 0.973 10.151 O
0.562 4.009 10.151 O
0.598 7.473 4.071 O
1.004 0.949 4.622 O
1.004 4.033 4.622 O
1.053 7.473 10.298 O
2.429 0.832 1.580 O
2.429 4.150 1.580 O
2.421 5.814 7.393 O
2.421 9.132 7.393 O
3.797 2.491 4.485 O
3.846 5.931 10.435 O
3.846 9.015 10.435 O
4.252 2.491 9.884 O
4.288 5.955 4.337 O
4.288 8.991 4.337 O
5.412 0.973 7.290 O
5.412 4.009 7.290 O
5.448 7.473 1.743 O
5.854 0.949 1.192 O
5.854 4.033 1.192 O
5.903 7.473 7.142 O
7.279 0.832 4.234 O
7.279 4.150 4.234 O
7.271 5.814 10.047 O
7.271 9.132 10.047 O
8.647 2.491 1.328 O
8.697 5.931 7.005 O
8.697 9.015 7.005 O
9.103 2.491 7.556 O
9.138 5.955 1.476 O
9.138 8.991 1.476 O
```

***

[4]
Entry from Alexandria: AlSbPCl2 at its PBEsol-relaxed geometry (SCAN).

formation energy from raw total energies	-0.27	eV per atom
V	102	Å³/cell
E_tot	-1.0689	Ry/atom
total magnetic moment	0.00	μB per formula unit

Cell and atoms, written as POSCAR:
```
AlSbPCl2
1.0
4.517 0.000 0.000
0.000 4.517 0.000
0.000 0.000 5.001
Al Sb P Cl
1 1 1 2
Cartesian
0.000 0.000 0.000 Al
2.258 2.258 2.501 Sb
0.000 0.000 2.501 P
0.000 2.258 0.000 Cl
2.258 0.000 0.000 Cl
```

***

Which value of E_tot does entry 4 give? -1.0689 Ry/atom

***

V of number 1 (Mg4Zn)? 102 Å³/cell

***

E_tot of number 1 (Mg4Zn)? -0.4944 Ry/atom

***

Among the records above, which one has the highest total magnetic moment? TaFePt2